Below is a relaxed LaSm2Zr crystal, with properties calculated at the PBE level.

Structure (CIF):
```
data_LaSm2Zr
_chemical_formula_sum 'La1 Sm2 Zr1'
_space_group_name_H-M_alt 'P 1'
_space_group_IT_number 1
_space_group_name_Hall 'P 1'
_cell_length_a 3.429
_cell_length_b 3.429
_cell_length_c 12.405
_cell_angle_alpha 82.06
_cell_angle_beta 82.06
_cell_angle_gamma 60.00
loop_
_atom_site_label
_atom_site_type_symbol
_atom_site_fract_x
_atom_site_fract_y
_atom_site_fract_z
_atom_site_occupancy
Zr1 Zr 0.000 0.000 0.000 1
Sm1 Sm 0.085 0.085 0.746 1
Sm2 Sm 0.915 0.915 0.254 1
La1 La 0.500 0.500 0.500 1
```

Summary:
Excess energy over the best structure of this formula in the dataset = 89.4 kJ/mol of formula units
Formation energy from the elements = 0.337 eV per atom